# CoPd3F | Alexandria via LeMat-Bulk | PBE with a Hubbard U | optimized geometry
# total magnetization = 2.55 μB per cell
# offset from the most stable computed form = 0 meV/atom
data_CoPd3F
_cell_length_a 4.320
_cell_length_b 4.320
_cell_length_c 4.320
_cell_angle_alpha 90.00
_cell_angle_beta 90.00
_cell_angle_gamma 90.00
_symmetry_space_group_name_H-M 'P m -3 m'
_symmetry_Int_Tables_number 221
_symmetry_space_group_name_Hall '-P 4 2 3'
loop_
_atom_site_label
_atom_site_fract_x
_atom_site_fract_y
_atom_site_fract_z
_atom_site_occupancy
Co1 0.000 0.000 0.000 1
Pd1 0.000 0.500 0.500 1
F1 0.500 0.500 0.500 1